CaMgP2Pd5 | PBE | relaxed

a = 4.2443 Å, b = 4.2443 Å, c = 8.3318 Å
α = 90.00°, β = 90.00°, γ = 90.00°
Space group P4/mmm (No. 123)
Unique sites:
Ca 0.0000 0.0000 0.0000 (multiplicity 1)
Mg 0.0000 0.0000 0.5000 (multiplicity 1)
P 0.5000 0.5000 0.3704 (multiplicity 2)
Pd 0.0000 0.5000 0.2506 (multiplicity 4)
Pd 0.5000 0.5000 0.0000 (multiplicity 1)

The value obtained for the energy of formation from the pure elements is -662 meV per atom. As for the crystal system: tetragonal.


Ca2MgP3Pt12 | PBE | relaxed

a = 8.3330 Å, b = 8.3330 Å, c = 17.2657 Å
α = 90.00°, β = 90.00°, γ = 120.00°
Space group R-3m (No. 166, hexagonal axes)
Unique sites:
Ca 0.0000 0.0000 0.1039 (multiplicity 6)
Mg 0.0000 0.0000 0.5000 (multiplicity 3)
P 0.0000 0.5000 0.0000 (multiplicity 9)
Pt 0.0058 0.5029 0.8697 (multiplicity 18)
Pt 0.0393 0.5196 0.3603 (multiplicity 18)

The value obtained for the energy of formation from the pure elements is -407 meV per atom. As for the crystal system: trigonal.


Ca2MgP3Pt4 | PBE | relaxed

a = 4.1537 Å, b = 4.1537 Å, c = 10.4031 Å
α = 90.00°, β = 90.00°, γ = 90.00°
Space group P-4m2 (No. 115)
Unique sites:
Ca 0.0000 0.5000 0.2384 (multiplicity 2)
Mg 0.0000 0.0000 0.5000 (multiplicity 1)
P 0.0000 0.5000 0.8702 (multiplicity 2)
P 0.5000 0.5000 0.5000 (multiplicity 1)
Pt 0.0000 0.0000 0.0000 (multiplicity 1)
Pt 0.0000 0.5000 0.6476 (multiplicity 2)
Pt 0.5000 0.5000 0.0000 (multiplicity 1)

The value obtained for the energy of formation from the pure elements is -851 meV per atom. As for the crystal system: tetragonal.